Entry 1:
# NiMoRu PBE optimized geometry
# Energy relative to the elements, eV per atom: 0.02
# ΔE to the lowest computed polymorph, eV per atom: 0.080
# N(E_F), states/eV/cell: 9.89
data_NiMoRu
_chemical_formula_sum 'Ni4 Mo4 Ru4'
_symmetry_space_group_name_H-M 'C 1 2/m 1'
_symmetry_Int_Tables_number 12
_cell_length_a 8.4430
_cell_length_b 3.7360
_cell_length_c 5.4549
_cell_angle_alpha 90.00
_cell_angle_beta 108.17
_cell_angle_gamma 90.00
loop_
_symmetry_equiv_pos_as_xyz
'x,y,z'
'-x,-y,-z'
'-x,y,-z'
'x,-y,z'
'x+1/2,y+1/2,z'
'-x+1/2,-y+1/2,-z'
'-x+1/2,y+1/2,-z'
'x+1/2,-y+1/2,z'
loop_
_atom_site_label
_atom_site_fract_x
_atom_site_fract_y
_atom_site_fract_z
Ni1 0.1664 0.0000 0.0798
Mo1 0.1687 0.0000 0.6037
Ru1 0.0008 0.5000 0.7632

Entry 2:
# NiSb2MoRu PBE optimized geometry
# Uncorrected formation energy, eV/atom: 1.323
# N(E_F), states/eV/cell: 5.86
data_NiSb2MoRu
_chemical_formula_sum 'Ni1 Sb2 Mo1 Ru1'
_symmetry_space_group_name_H-M 'P 4/m m m'
_symmetry_Int_Tables_number 123
_symmetry_space_group_name_Hall '-P 4 2'
_cell_length_a 5.1185
_cell_length_b 5.1185
_cell_length_c 4.4986
_cell_angle_alpha 90.00
_cell_angle_beta 90.00
_cell_angle_gamma 90.00
loop_
_atom_site_label
_atom_site_fract_x
_atom_site_fract_y
_atom_site_fract_z
Ni1 0.0000 0.0000 0.0000
Sb1 0.0000 0.5000 0.5000
Mo1 0.0000 0.0000 0.5000
Ru1 0.5000 0.5000 0.0000

Entry 3:
# NiMoRuW PBE optimized geometry
# Energy relative to the elements, eV per atom: 0.16
# ΔE to the lowest computed polymorph, eV per atom: 0.175
# N(E_F), states/eV/cell: 21.20
data_NiMoRuW
_chemical_formula_sum 'Ni4 Mo4 Ru4 W4'
_symmetry_space_group_name_H-M 'F -4 3 m'
_symmetry_Int_Tables_number 216
_symmetry_space_group_name_Hall 'F -4 2 3'
_cell_length_a 6.1330
_cell_length_b 6.1330
_cell_length_c 6.1330
_cell_angle_alpha 90.00
_cell_angle_beta 90.00
_cell_angle_gamma 90.00
loop_
_atom_site_label
_atom_site_fract_x
_atom_site_fract_y
_atom_site_fract_z
Ni1 0.0000 0.0000 0.0000
Mo1 0.2500 0.2500 0.7500
Ru1 0.2500 0.2500 0.2500
W1 0.0000 0.0000 0.5000

Entry 4:
# NiMoRuW PBE optimized geometry
# Energy relative to the elements, eV per atom: -0.02
# ΔE to the lowest computed polymorph, eV per atom: 0.000
# N(E_F), states/eV/cell: 2.56
data_NiMoRuW
_chemical_formula_sum 'Ni1 Mo1 Ru1 W1'
_symmetry_space_group_name_H-M 'P m m m'
_symmetry_Int_Tables_number 47
_cell_length_a 3.8329
_cell_length_b 3.8407
_cell_length_c 3.8513
_cell_angle_alpha 90.00
_cell_angle_beta 90.00
_cell_angle_gamma 90.00
loop_
_symmetry_equiv_pos_as_xyz
'x,y,z'
'-x,-y,-z'
'-x,-y,z'
'x,y,-z'
'x,-y,-z'
'-x,y,z'
'-x,y,-z'
'x,-y,z'
loop_
_atom_site_label
_atom_site_fract_x
_atom_site_fract_y
_atom_site_fract_z
Ni1 0.0000 0.0000 0.0000
Mo1 0.5000 0.0000 0.5000
Ru1 0.5000 0.5000 0.0000
W1 0.0000 0.5000 0.5000

Entry 5:
# ZnNiMoRu PBE optimized geometry
# Energy relative to the elements, eV per atom: 0.04
# N(E_F), states/eV/cell: 18.90
data_ZnNiMoRu
_chemical_formula_sum 'Zn4 Ni4 Mo4 Ru4'
_symmetry_space_group_name_H-M 'F -4 3 m'
_symmetry_Int_Tables_number 216
_symmetry_space_group_name_Hall 'F -4 2 3'
_cell_length_a 6.0469
_cell_length_b 6.0469
_cell_length_c 6.0469
_cell_angle_alpha 90.00
_cell_angle_beta 90.00
_cell_angle_gamma 90.00
loop_
_atom_site_label
_atom_site_fract_x
_atom_site_fract_y
_atom_site_fract_z
Zn1 0.0000 0.0000 0.0000
Ni1 0.2500 0.2500 0.2500
Mo1 0.0000 0.0000 0.5000
Ru1 0.2500 0.2500 0.7500

Entry 6:
# Ni2MoS PBE optimized geometry
# Uncorrected formation energy, eV/atom: 0.046
# N(E_F), states/eV/cell: 4.99
data_Ni2MoS
_chemical_formula_sum 'Ni8 Mo4 S4'
_symmetry_space_group_name_H-M 'I -4 2 d'
_symmetry_Int_Tables_number 122
_symmetry_space_group_name_Hall 'I -4 2bw'
_cell_length_a 6.5808
_cell_length_b 6.5808
_cell_length_c 4.8029
_cell_angle_alpha 90.00
_cell_angle_beta 90.00
_cell_angle_gamma 90.00
loop_
_atom_site_label
_atom_site_fract_x
_atom_site_fract_y
_atom_site_fract_z
Ni1 0.2038 0.7500 0.1250
Mo1 0.0000 0.0000 0.5000
S1 0.0000 0.0000 0.0000

Entry 7:
# Ni2Mo2S PBE optimized geometry
# Uncorrected formation energy, eV/atom: 0.570
# ΔE to the lowest computed polymorph, eV per atom: 0.322
# N(E_F), states/eV/cell: 7.45
data_Ni2Mo2S
_chemical_formula_sum 'Ni4 Mo4 S2'
_symmetry_space_group_name_H-M 'I 4/m m m'
_symmetry_Int_Tables_number 139
_symmetry_space_group_name_Hall '-I 4 2'
_cell_length_a 3.5175
_cell_length_b 3.5175
_cell_length_c 12.4584
_cell_angle_alpha 90.00
_cell_angle_beta 90.00
_cell_angle_gamma 90.00
loop_
_atom_site_label
_atom_site_fract_x
_atom_site_fract_y
_atom_site_fract_z
Ni1 0.0000 0.0000 0.0957
Mo1 0.0000 0.5000 0.2500
S1 0.0000 0.0000 0.5000

Entry 8:
# Ni2Mo2S PBE optimized geometry
# Uncorrected formation energy, eV/atom: 0.247
# ΔE to the lowest computed polymorph, eV per atom: 0.000
# N(E_F), states/eV/cell: 11.40
data_Ni2Mo2S
_chemical_formula_sum 'Ni4 Mo4 S2'
_symmetry_space_group_name_H-M 'P 4/m b m'
_symmetry_Int_Tables_number 127
_symmetry_space_group_name_Hall '-P 4 2ab'
_cell_length_a 5.6782
_cell_length_b 5.6782
_cell_length_c 4.1637
_cell_angle_alpha 90.00
_cell_angle_beta 90.00
_cell_angle_gamma 90.00
loop_
_atom_site_label
_atom_site_fract_x
_atom_site_fract_y
_atom_site_fract_z
Ni1 0.1466 0.3534 0.0000
Mo1 0.1600 0.6600 0.5000
S1 0.0000 0.0000 0.0000

Entry 9:
# NiMo3S PBE optimized geometry
# Uncorrected formation energy, eV/atom: 0.742
# ΔE to the lowest computed polymorph, eV per atom: 0.000
# N(E_F), states/eV/cell: 7.00
data_NiMo3S
_chemical_formula_sum 'Ni1 Mo3 S1'
_symmetry_space_group_name_H-M 'P m -3 m'
_symmetry_Int_Tables_number 221
_symmetry_space_group_name_Hall '-P 4 2 3'
_cell_length_a 4.3785
_cell_length_b 4.3785
_cell_length_c 4.3785
_cell_angle_alpha 90.00
_cell_angle_beta 90.00
_cell_angle_gamma 90.00
loop_
_atom_site_label
_atom_site_fract_x
_atom_site_fract_y
_atom_site_fract_z
Ni1 0.0000 0.0000 0.0000
Mo1 0.0000 0.5000 0.5000
S1 0.5000 0.5000 0.5000

Entry 10:
# Sr2NiMoS PBE optimized geometry
# Uncorrected formation energy, eV/atom: 0.176
# N(E_F), states/eV/cell: 4.61
data_Sr2NiMoS
_chemical_formula_sum 'Sr2 Ni1 Mo1 S1'
_symmetry_space_group_name_H-M 'P 4/m m m'
_symmetry_Int_Tables_number 123
_symmetry_space_group_name_Hall '-P 4 2'
_cell_length_a 5.6577
_cell_length_b 5.6577
_cell_length_c 4.4677
_cell_angle_alpha 90.00
_cell_angle_beta 90.00
_cell_angle_gamma 90.00
loop_
_atom_site_label
_atom_site_fract_x
_atom_site_fract_y
_atom_site_fract_z
Sr1 0.0000 0.5000 0.0000
Ni1 0.0000 0.0000 0.5000
Mo1 0.5000 0.5000 0.5000
S1 0.5000 0.5000 0.0000

Entry 11:
# TcNiMoS2 PBE optimized geometry
# Uncorrected formation energy, eV/atom: 1.191
# N(E_F), states/eV/cell: 8.53
data_TcNiMoS2
_chemical_formula_sum 'Tc1 Ni1 Mo1 S2'
_symmetry_space_group_name_H-M 'P 4/m m m'
_symmetry_Int_Tables_number 123
_symmetry_space_group_name_Hall '-P 4 2'
_cell_length_a 4.2693
_cell_length_b 4.2693
_cell_length_c 4.4788
_cell_angle_alpha 90.00
_cell_angle_beta 90.00
_cell_angle_gamma 90.00
loop_
_atom_site_label
_atom_site_fract_x
_atom_site_fract_y
_atom_site_fract_z
Tc1 0.0000 0.0000 0.0000
Ni1 0.0000 0.0000 0.5000
Mo1 0.5000 0.5000 0.0000
S1 0.0000 0.5000 0.5000

Entry 12:
# NiSb2Mo PBE optimized geometry
# Uncorrected formation energy, eV/atom: 0.318
# ΔE to the lowest computed polymorph, eV per atom: 0.309
# N(E_F), states/eV/cell: 5.53
data_NiSb2Mo
_chemical_formula_sum 'Ni2 Sb4 Mo2'
_symmetry_space_group_name_H-M 'I m m 2'
_symmetry_Int_Tables_number 44
_cell_length_a 3.4782
_cell_length_b 4.3656
_cell_length_c 9.6444
_cell_angle_alpha 90.00
_cell_angle_beta 90.00
_cell_angle_gamma 90.00
loop_
_symmetry_equiv_pos_as_xyz
'x,y,z'
'-x,-y,z'
'-x,y,z'
'x,-y,z'
'x+1/2,y+1/2,z+1/2'
'-x+1/2,-y+1/2,z+1/2'
'-x+1/2,y+1/2,z+1/2'
'x+1/2,-y+1/2,z+1/2'
loop_
_atom_site_label
_atom_site_fract_x
_atom_site_fract_y
_atom_site_fract_z
Ni1 0.0000 0.0000 0.0000
Sb1 0.0000 0.0000 0.4791
Sb2 0.0000 0.5000 0.7070
Mo1 0.0000 0.5000 0.2209

Entry 13:
# Ni2SbMo PBE optimized geometry
# Uncorrected formation energy, eV/atom: 0.193
# N(E_F), states/eV/cell: 5.96
data_Ni2SbMo
_chemical_formula_sum 'Ni4 Sb2 Mo2'
_symmetry_space_group_name_H-M 'C 1 2/m 1'
_symmetry_Int_Tables_number 12
_cell_length_a 8.6214
_cell_length_b 2.9993
_cell_length_c 4.7271
_cell_angle_alpha 90.00
_cell_angle_beta 99.38
_cell_angle_gamma 90.00
loop_
_symmetry_equiv_pos_as_xyz
'x,y,z'
'-x,-y,-z'
'-x,y,-z'
'x,-y,z'
'x+1/2,y+1/2,z'
'-x+1/2,-y+1/2,-z'
'-x+1/2,y+1/2,-z'
'x+1/2,-y+1/2,z'
loop_
_atom_site_label
_atom_site_fract_x
_atom_site_fract_y
_atom_site_fract_z
Ni1 0.2447 0.0000 0.2177
Sb1 0.0000 0.0000 0.5000
Mo1 0.0000 0.5000 0.0000

Number 1: size of the total moment 0.0000 μB per atom. Number 2: size of the total moment 0.4002 μB per atom. Number 3: size of the total moment 0.0001 μB per atom. Number 4: size of the total moment 0.0000 μB per atom. Number 5: size of the total moment 0.3489 μB per atom. Number 6: size of the total moment 0.0000 μB per atom. Number 7: size of the total moment 0.0000 μB per atom. Number 8: size of the total moment 0.0000 μB per atom. Number 9: size of the total moment 0.0000 μB per atom. Number 10: size of the total moment 0.4235 μB per atom. Number 11: size of the total moment 0.0001 μB per atom. Number 12: size of the total moment 0.0000 μB per atom. Number 13: size of the total moment 0.0000 μB per atom.